First-principles (PBE) data for crystalline NdGaCl2 at its relaxed geometry, as listed in Alexandria via LeMat-Bulk.

Summary:
Space group = R-3m, No. 166
DOS(E_F) = 3.772 states/eV/cell
Calculated volume = 387 Å³ per cell
Total energy = -3.784 eV/atom
Formation energy without anion corrections = -0.91 eV per atom

Lattice parameters (Å, degrees): 4.027 4.027 27.546 90.00 90.00 120.00
Atoms (fractional coordinates):
Nd 0.000 0.000 0.000
Nd 0.333 0.667 0.667
Nd 0.667 0.333 0.333
Ga 0.000 0.000 0.500
Ga 0.333 0.667 0.167
Ga 0.667 0.333 0.833
Cl 0.000 0.000 0.099
Cl 0.000 0.000 0.901
Cl 0.333 0.667 0.568
Cl 0.333 0.667 0.766
Cl 0.667 0.333 0.234
Cl 0.667 0.333 0.432